Entry 1:
Density functional theory data (SCAN) for a crystal of KTa2Hg relaxed with PBEsol.

Results
E_tot: -51.542 eV/atom
Energy of formation: 0.873 eV/atom
Total moment: 0.0 μB/cell

Lattice parameters (Å, degrees): 11.573 11.573 11.573 14.59 14.59 14.59
Fractional positions:
K  0.000  0.000  0.000
Ta  0.239  0.239  0.239
Ta  0.761  0.761  0.761
Hg  0.500  0.500  0.500


Entry 2:
Density functional theory data (SCAN) for a crystal of Hf3AgN relaxed with PBEsol.

Results
E_tot: -46.572 eV/atom
Formation energy (no corrections): -4.2 eV/f.u.
Total moment: 0.0 μB/cell

Lattice parameters (Å, degrees): 4.368 4.368 4.368 90.00 90.00 90.00
Fractional positions:
Hf  0.000  0.000  0.500
Hf  0.000  0.500  0.000
Hf  0.500  0.000  0.000
Ag  0.500  0.500  0.500
N  0.000  0.000  0.000


Among the records above, which one has the highest E_tot?
Hf3AgN


Look up the E_tot of the second one.
-46.572 eV/atom